[1]
Material: NiOsRh2
Method: DFT, PBE-GGA
State: relaxed

abc: 5.2349 5.2349 5.2349
angles: 149.61 130.38 59.30
With the nearest neighbours (Å) after each atom.
Sites, in units of the cell vectors:
Ni 0.0000 0.0000 0.0000  2 Os 2.43, 6 Rh 2.51-2.59
Os 0.2206 0.7206 0.5000  2 Ni 2.43, 4 Rh 2.63
Rh 0.4892 0.4892 0.0000  4 Ni 2.59, 4 Rh 2.74-2.90, 2 Os 2.80
Rh 0.7696 0.2696 0.5000  2 Ni 2.51, 4 Os 2.63, 2 Rh 2.74

Properties
Energy of formation ... 94.1 kJ/mol of formula units
SG ... No. 44
Relative energy among the computed polymorphs ... 0.83 eV per formula unit



[2]
Material: SrMnFe2
Method: DFT, PBE-GGA
State: relaxed

abc: 5.1509 5.1509 5.1509
angles: 132.83 132.83 68.92
With the nearest neighbours (Å) after each atom.
Sites, in units of the cell vectors:
Sr 0.0000 0.0000 0.0000  4 Mn 2.91, 8 Fe 2.96
Mn 0.5000 0.5000 0.0000  4 Sr 2.91, 8 Fe 2.96
Fe 0.2500 0.7500 0.5000  4 Fe 2.91, 4 Mn 2.96, 4 Sr 2.96
Fe 0.7500 0.2500 0.5000  4 Fe 2.91, 4 Mn 2.96, 4 Sr 2.96

Properties
Energy of formation ... 345.6 kJ/mol of formula units
SG ... No. 139



[3]
Material: CsPrSnCl6
Method: DFT, PBE-GGA
State: relaxed

abc: 10.3121 10.3121 10.3121
angles: 121.89 119.13 89.13
With the nearest neighbours (Å) after each atom.
Sites, in units of the cell vectors:
Cs 0.3187 0.0687 0.2500  1 Cl 3.43
Cs 0.6813 0.9313 0.7500  1 Cl 3.43
Pr 0.0000 0.5000 0.5000  6 Cl 2.76-2.79
Pr 0.5000 0.5000 0.0000  6 Cl 2.76-2.79
Sn 0.0000 0.0000 0.5000  6 Cl 2.80-2.88
Sn 0.0000 0.5000 0.0000  6 Cl 2.80-2.88
Cl 0.0757 0.4172 0.2496  1 Pr 2.76, 1 Sn 2.88
Cl 0.0757 0.8261 0.6585  1 Pr 2.76, 1 Sn 2.88
Cl 0.0851 0.8351 0.2500  2 Sn 2.80
Cl 0.3166 0.5666 0.7500  2 Pr 2.79
Cl 0.3324 0.1739 0.7496  1 Pr 2.76, 1 Sn 2.88
Cl 0.3324 0.5828 0.1585  1 Pr 2.76, 1 Sn 2.88
Cl 0.6676 0.4172 0.8415  1 Pr 2.76, 1 Sn 2.88
Cl 0.6676 0.8261 0.2504  1 Pr 2.76, 1 Sn 2.88
Cl 0.6834 0.4334 0.2500  2 Pr 2.79
Cl 0.9149 0.1649 0.7500  2 Sn 2.80
Cl 0.9243 0.1739 0.3415  1 Pr 2.76, 1 Sn 2.88
Cl 0.9243 0.5828 0.7504  1 Pr 2.76, 1 Sn 2.88

Properties
ΔE_f (raw) ... -1.7604 eV per atom
SG ... No. 74



[4]
Material: SrCr3Tc
Method: DFT, PBE-GGA
State: relaxed

abc: 4.7709 4.7709 4.7709
angles: 90.00 90.00 90.00
With the nearest neighbours (Å) after each atom.
Sites, in units of the cell vectors:
Sr 0.0000 0.0000 0.0000  6 Cr 2.39
Cr 0.0000 0.0000 0.5000  2 Sr 2.39
Cr 0.0000 0.5000 0.0000  2 Sr 2.39
Cr 0.5000 0.0000 0.0000  2 Sr 2.39
Tc 0.5000 0.5000 0.5000  12 Cr 3.37

Properties
Energy of formation ... 1334.9 kJ/mol of formula units
SG ... No. 221
Relative energy among the computed polymorphs ... 9.32 eV per formula unit



[5]
Material: LaTaSi2
Method: DFT, PBE-GGA
State: relaxed

abc: 6.8602 6.8602 6.8602
angles: 150.24 147.62 44.55
With the nearest neighbours (Å) after each atom.
Sites, in units of the cell vectors:
La 0.0000 0.0000 0.0000  4 Si 3.03
Ta 0.7316 0.2316 0.5000  6 Si 2.60-2.66
Si 0.2363 0.7363 0.5000  2 Si 2.51, 4 Ta 2.60
Si 0.3771 0.3771 0.0000  2 Si 2.51, 2 Ta 2.66

Properties
ΔE_f (raw) ... -0.2306 eV per atom
SG ... No. 44
Relative energy among the computed polymorphs ... 0.74 eV per formula unit



[6]
Material: Ca3CdRu
Method: DFT, PBE-GGA
State: relaxed

abc: 5.4242 5.4242 5.4242
angles: 90.00 90.00 90.00
With the nearest neighbours (Å) after each atom.
Sites, in units of the cell vectors:
Ca 0.0000 0.0000 0.5000  2 Ru 2.71
Ca 0.0000 0.5000 0.0000  2 Ru 2.71
Ca 0.5000 0.0000 0.0000  2 Ru 2.71
Cd 0.5000 0.5000 0.5000  12 Ca 3.84
Ru 0.0000 0.0000 0.0000  6 Ca 2.71

Properties
Energy of formation ... 57.0 kJ/mol of formula units
SG ... No. 221
Relative energy among the computed polymorphs ... 0.00 eV per formula unit



[7]
Material: Cd2Ga2Sb
Method: DFT, PBE-GGA
State: relaxed

abc: 8.3216 8.3216 3.3251
angles: 90.00 90.00 90.00
With the nearest neighbours (Å) after each atom.
Sites, in units of the cell vectors:
Cd 0.1262 0.3738 0.0000  6 Ga 2.86-3.05, 1 Cd 2.97
Cd 0.3738 0.8738 0.0000  6 Ga 2.86-3.05, 1 Cd 2.97
Cd 0.6262 0.1262 0.0000  6 Ga 2.86-3.05, 1 Cd 2.97
Cd 0.8738 0.6262 0.0000  6 Ga 2.86-3.05, 1 Cd 2.97
Ga 0.1763 0.6763 0.5000  6 Cd 2.86-3.05, 2 Sb 3.07
Ga 0.3237 0.1763 0.5000  6 Cd 2.86-3.05, 2 Sb 3.07
Ga 0.6763 0.8237 0.5000  6 Cd 2.86-3.05, 2 Sb 3.07
Ga 0.8237 0.3237 0.5000  6 Cd 2.86-3.05, 2 Sb 3.07
Sb 0.0000 0.0000 0.5000  4 Ga 3.07, 2 Sb 3.33
Sb 0.5000 0.5000 0.5000  4 Ga 3.07, 2 Sb 3.33

Properties
ΔE_f (raw) ... 0.1187 eV per atom
SG ... No. 127
Relative energy among the computed polymorphs ... 0.19 eV per formula unit



[8]
Material: MgMnBP2
Method: DFT, PBE-GGA
State: relaxed

abc: 4.3000 4.3000 3.9474
angles: 90.00 90.00 90.00
With the nearest neighbours (Å) after each atom.
Sites, in units of the cell vectors:
Mg 0.0000 0.0000 0.0000  8 P 2.92, 4 Mn 3.04
Mn 0.5000 0.5000 0.0000  2 B 1.97
B 0.5000 0.5000 0.5000  2 Mn 1.97, 4 P 2.15
P 0.0000 0.5000 0.5000  2 B 2.15
P 0.5000 0.0000 0.5000  2 B 2.15

Properties
Energy of formation ... 223.5 kJ/mol of formula units
SG ... No. 123



[9]
Material: LiErPuIn
Method: DFT, PBE-GGA
State: relaxed

abc: 5.2680 5.2680 5.2680
angles: 60.00 60.00 60.00
With the nearest neighbours (Å) after each atom.
Sites, in units of the cell vectors:
Li 0.0000 0.0000 0.0000  4 Pu 3.23, 4 Er 3.23
Er 0.2500 0.2500 0.2500  4 In 3.23, 4 Li 3.23
Pu 0.7500 0.7500 0.7500  4 In 3.23, 4 Li 3.23
In 0.5000 0.5000 0.5000  4 Pu 3.23, 4 Er 3.23

Properties
Energy of formation ... -11.5 kJ/mol of formula units
SG ... No. 216



[10]
Material: TmOs4
Method: DFT, PBE-GGA
State: relaxed

abc: 4.6623 4.6623 4.6623
angles: 90.00 90.00 90.00
With the nearest neighbours (Å) after each atom.
Sites, in units of the cell vectors:
Tm 0.0000 0.0000 0.0000  6 Os 2.33
Os 0.0000 0.0000 0.5000  2 Tm 2.33
Os 0.0000 0.5000 0.0000  2 Tm 2.33
Os 0.5000 0.0000 0.0000  2 Tm 2.33
Os 0.5000 0.5000 0.5000  12 Os 3.30

Properties
Energy of formation ... 1573.8 kJ/mol of formula units
SG ... No. 221



[11]
Material: Al2CrSb
Method: DFT, PBE-GGA
State: relaxed

abc: 4.0583 4.0583 4.4580
angles: 90.00 90.00 90.00
With the nearest neighbours (Å) after each atom.
Sites, in units of the cell vectors:
Al 0.0000 0.5000 0.0000  4 Al 2.87, 4 Cr 3.01, 4 Sb 3.01
Al 0.5000 0.0000 0.0000  4 Al 2.87, 4 Cr 3.01, 4 Sb 3.01
Cr 0.0000 0.0000 0.5000  4 Sb 2.87, 8 Al 3.01
Sb 0.5000 0.5000 0.5000  4 Cr 2.87, 8 Al 3.01

Properties
ΔE_f (raw) ... 0.2363 eV per atom
SG ... No. 123



[12]
Material: Cd2Au2Cl
Method: DFT, PBE-GGA
State: relaxed

abc: 8.2124 8.2124 3.1792
angles: 90.00 90.00 90.00
With the nearest neighbours (Å) after each atom.
Sites, in units of the cell vectors:
Cd 0.1794 0.3206 0.0000  6 Au 2.81-2.97
Cd 0.3206 0.8206 0.0000  6 Au 2.81-2.97
Cd 0.6794 0.1794 0.0000  6 Au 2.81-2.97
Cd 0.8206 0.6794 0.0000  6 Au 2.81-2.97
Au 0.1208 0.6208 0.5000  1 Au 2.81, 6 Cd 2.81-2.97
Au 0.3792 0.1208 0.5000  1 Au 2.81, 6 Cd 2.81-2.97
Au 0.6208 0.8792 0.5000  1 Au 2.81, 6 Cd 2.81-2.97
Au 0.8792 0.3792 0.5000  1 Au 2.81, 6 Cd 2.81-2.97
Cl 0.0000 0.0000 0.5000  2 Cl 3.18, 4 Au 3.27, 8 Cd 3.41
Cl 0.5000 0.5000 0.5000  2 Cl 3.18, 4 Au 3.27, 8 Cd 3.41

Properties
ΔE_f (raw) ... -0.1660 eV per atom
SG ... No. 127
Relative energy among the computed polymorphs ... 0.22 eV per formula unit



[13]
Material: Cs17InPb11
Method: DFT, PBE-GGA
State: relaxed

abc: 12.3878 12.3878 12.4391
angles: 109.43 109.43 109.20
With the nearest neighbours (Å) after each atom.
Sites, in units of the cell vectors:
Cs 0.0000 0.0000 0.0000  4 Cs 3.78-3.84
Cs 0.0032 0.5524 0.2938  1 Cs 3.85, 4 Pb 4.05-4.14
Cs 0.0045 0.3122 0.0032  4 Cs 3.84-3.91, 5 Pb 4.07-4.15, 1 In 4.15
Cs 0.0112 0.0112 0.3109  4 Cs 3.78-3.91, 6 Pb 4.08-4.16
Cs 0.2634 0.7080 0.7106  3 Cs 3.91-4.37, 4 Pb 4.10-4.12
Cs 0.2915 0.9976 0.5543  2 Cs 3.87-4.32, 4 Pb 4.09-4.21
Cs 0.2978 0.5535 0.0011  2 Cs 3.89-4.33, 3 Pb 4.10-4.13, 1 In 4.13
Cs 0.3122 0.0045 0.0032  4 Cs 3.84-3.91, 5 Pb 4.07-4.15, 1 In 4.15
Cs 0.4440 0.4440 0.7346  3 Cs 3.88-4.33, 4 Pb 4.03-4.17
Cs 0.4501 0.7422 0.4466  3 Cs 3.90-4.32, 1 In 4.02, 3 Pb 4.03-4.15
Cs 0.5524 0.0032 0.2938  1 Cs 3.85, 4 Pb 4.05-4.14
Cs 0.5535 0.2978 0.0011  2 Cs 3.89-4.33, 3 Pb 4.10-4.13, 1 In 4.13
Cs 0.6930 0.6930 0.6949  4 Cs 3.82-3.90, 6 Pb 4.07-4.09
Cs 0.7080 0.2634 0.7106  3 Cs 3.91-4.37, 4 Pb 4.10-4.12
Cs 0.7171 0.7171 0.2640  3 Cs 3.91-4.38, 4 Pb 4.06-4.11
Cs 0.7422 0.4501 0.4466  3 Cs 3.90-4.32, 1 In 4.02, 3 Pb 4.03-4.15
Cs 0.9976 0.2915 0.5543  2 Cs 3.87-4.32, 4 Pb 4.09-4.21
In 0.3779 0.3779 0.2249  2 Pb 3.09
Pb 0.0011 0.6322 0.8458  2 Pb 3.14-3.16
Pb 0.0011 0.8445 0.6356  2 Pb 3.16-3.17
Pb 0.1562 0.1562 0.7904  2 Pb 3.17
Pb 0.1558 0.7848 0.1539  2 Pb 3.14-3.16
Pb 0.2225 0.3795 0.3747  1 In 3.09, 1 Pb 3.17
Pb 0.3795 0.2225 0.3747  1 In 3.09, 1 Pb 3.17
Pb 0.6322 0.0011 0.8458  2 Pb 3.14-3.16
Pb 0.6346 0.8449 0.0017  2 Pb 3.16
Pb 0.7848 0.1558 0.1539  2 Pb 3.14-3.16
Pb 0.8445 0.0011 0.6356  2 Pb 3.16-3.17
Pb 0.8449 0.6346 0.0017  2 Pb 3.16

Properties
Energy of formation ... -314.1 kJ/mol of formula units
SG ... No. 8



[14]
Material: TbDy2HoTm5
Method: DFT, PBE-GGA
State: relaxed

abc: 10.1672 10.1672 10.4720
angles: 90.00 90.00 148.47
With the nearest neighbours (Å) after each atom.
Sites, in units of the cell vectors:
Tb 0.2007 0.7993 0.5000  2 Dy 3.38-3.66, 8 Tm 3.45-3.73, 2 Ho 3.61
Tb 0.7993 0.2007 0.0000  2 Dy 3.38-3.66, 8 Tm 3.45-3.73, 2 Ho 3.61
Dy 0.1097 0.8903 0.2253  6 Tm 3.34-3.56, 1 Tb 3.38, 2 Ho 3.63
Dy 0.1130 0.8870 0.8082  9 Tm 3.31-3.59, 1 Tb 3.66
Dy 0.8870 0.1130 0.3082  9 Tm 3.31-3.59, 1 Tb 3.66
Dy 0.8903 0.1097 0.7253  6 Tm 3.34-3.56, 1 Tb 3.38, 2 Ho 3.63
Ho 0.4142 0.5858 0.9452  5 Tm 3.03-3.20
Ho 0.5858 0.4142 0.4452  5 Tm 3.03-3.20
Tm 0.0185 0.9815 0.5147  2 Ho 3.15, 3 Dy 3.34-3.52
Tm 0.2819 0.7181 0.7956  1 Ho 3.03, 1 Dy 3.31, 2 Tm 3.36
Tm 0.3006 0.6994 0.1981  4 Tm 3.36-3.73, 3 Dy 3.44-3.75, 3 Tb 3.45-3.72, 1 Ho 3.46
Tm 0.3911 0.6089 0.5111  6 Tm 3.39-3.73, 4 Dy 3.49-3.56, 1 Tb 3.73
Tm 0.4790 0.5210 0.2261  2 Ho 3.10-3.20, 2 Tm 3.39-3.45, 2 Dy 3.41
Tm 0.5210 0.4790 0.7261  2 Ho 3.10-3.20, 2 Tm 3.39-3.45, 2 Dy 3.41
Tm 0.6089 0.3911 0.0111  6 Tm 3.39-3.73, 4 Dy 3.49-3.56, 1 Tb 3.73
Tm 0.6994 0.3006 0.6981  4 Tm 3.36-3.73, 3 Dy 3.44-3.75, 3 Tb 3.45-3.72, 1 Ho 3.46
Tm 0.7181 0.2819 0.2956  1 Ho 3.03, 1 Dy 3.31, 2 Tm 3.36
Tm 0.9815 0.0185 0.0147  2 Ho 3.15, 3 Dy 3.34-3.52

Properties
Energy of formation ... 136.3 kJ/mol of formula units
SG ... No. 36



[15]
Material: CaPu2PdPt2
Method: DFT, PBE-GGA
State: relaxed

abc: 6.7780 6.7780 6.7780
angles: 131.97 131.97 70.27
With the nearest neighbours (Å) after each atom.
Sites, in units of the cell vectors:
Ca 0.0000 0.0000 0.0000  2 Pt 2.93
Pu 0.2500 0.7500 0.5000  4 Pt 2.76
Pu 0.7500 0.2500 0.5000  4 Pt 2.76
Pd 0.5000 0.5000 0.0000  2 Pt 2.61
Pt 0.2643 0.2643 0.0000  1 Pd 2.61, 4 Pu 2.76
Pt 0.7357 0.7357 0.0000  1 Pd 2.61, 4 Pu 2.76

Properties
Energy of formation ... -199.2 kJ/mol of formula units
SG ... No. 139



[16]
Material: ZrScTlTc
Method: DFT, PBE-GGA
State: relaxed

abc: 3.3923 3.3923 7.1007
angles: 90.00 90.00 90.00
With the nearest neighbours (Å) after each atom.
Sites, in units of the cell vectors:
Zr 0.0000 0.0000 0.0000  4 Tc 2.81, 1 Sc 3.04
Sc 0.0000 0.0000 0.5720  4 Tc 2.87, 1 Zr 3.04, 4 Tl 3.11
Tl 0.5000 0.5000 0.2942  4 Sc 3.11, 4 Zr 3.18, 4 Tl 3.39
Tc 0.5000 0.5000 0.7936  4 Zr 2.81, 4 Sc 2.87

Properties
Energy of formation ... -114.4 kJ/mol of formula units
SG ... No. 99
Relative energy among the computed polymorphs ... 0.00 eV per formula unit



[17]
Material: InRuAuS2
Method: DFT, PBE-GGA
State: relaxed

abc: 4.4193 4.4193 5.9190
angles: 90.00 90.00 90.00
With the nearest neighbours (Å) after each atom.
Sites, in units of the cell vectors:
In 0.0000 0.0000 0.0000  2 Ru 2.96, 4 Au 3.12
Ru 0.0000 0.0000 0.5000  4 S 2.21
Au 0.5000 0.5000 0.0000  4 In 3.12
S 0.0000 0.5000 0.5000  2 Ru 2.21
S 0.5000 0.0000 0.5000  2 Ru 2.21

Properties
ΔE_f (raw) ... 0.3064 eV per atom
SG ... No. 123



[18]
Material: HoPdPb
Method: DFT, PBE-GGA
State: relaxed

abc: 4.7502 4.7502 3.5739
angles: 90.00 90.00 120.00
With the nearest neighbours (Å) after each atom.
Sites, in units of the cell vectors:
Ho 0.0000 0.0000 0.0000  6 Pd 3.27-3.28, 6 Pb 3.27, 2 Ho 3.57
Pd 0.6667 0.3333 0.4988  3 Pb 2.74
Pb 0.3333 0.6667 0.5006  3 Pd 2.74

Properties
Energy of formation ... -182.5 kJ/mol of formula units
SG ... No. 156



[19]
Material: NdGa5
Method: DFT, PBE-GGA
State: relaxed

abc: 5.8961 5.8961 5.8961
angles: 138.30 112.09 82.95
With the nearest neighbours (Å) after each atom.
Sites, in units of the cell vectors:
Nd 0.0000 0.0000 0.0000  14 Ga 3.19-3.29
Ga 0.1298 0.3377 0.7921  6 Ga 2.67-2.89
Ga 0.4544 0.6623 0.7921  6 Ga 2.67-2.89
Ga 0.5000 0.0000 0.5000  8 Ga 2.89
Ga 0.5456 0.3377 0.2079  6 Ga 2.67-2.89
Ga 0.8702 0.6623 0.2079  6 Ga 2.67-2.89

Properties
Energy of formation ... -198.8 kJ/mol of formula units
SG ... No. 71
Relative energy among the computed polymorphs ... 0.00 eV per formula unit



[20]
Material: K2ReNi
Method: DFT, PBE-GGA
State: relaxed

abc: 2.7779 2.7779 11.2607
angles: 90.00 90.00 114.11
With the nearest neighbours (Å) after each atom.
Sites, in units of the cell vectors:
K 0.0000 0.0000 0.2367  6 K 2.78-3.02, 2 Ni 3.06
K 0.0000 0.0000 0.7633  6 K 2.78-3.02, 2 Ni 3.06
Re 0.5000 0.5000 0.5000  6 Re 2.78-3.02
Ni 0.5000 0.5000 0.0000  6 Ni 2.78-3.02, 4 K 3.06

Properties
Energy of formation ... 481.4 kJ/mol of formula units
SG ... No. 65
Relative energy among the computed polymorphs ... 1.93 eV per formula unit



| no. | VASP energy (eV/atom) |
| --- | --- |
| 1 | -7.68 |
| 2 | -6.05 |
| 3 | -4.06 |
| 4 | -5.42 |
| 5 | -7.14 |
| 6 | -3.12 |
| 7 | -2.28 |
| 8 | -5.19 |
| 9 | -5.92 |
| 10 | -6.62 |
| 11 | -5.07 |
| 12 | -2.21 |
| 13 | -2.11 |
| 14 | -4.37 |
| 15 | -8.33 |
| 16 | -7.20 |
| 17 | -4.40 |
| 18 | -5.12 |
| 19 | -3.66 |
| 20 | -3.86 |